[1]
Here is crystalline As3PtRh at its relaxed geometry from Alexandria. Energies are from PBEsol.

abc: 4.755 4.755 4.755
angles: 90.00 90.00 90.00
Positions (direct):
Rh: 0.500 0.500 0.500
As: 0.000 0.500 0.000
As: 0.000 0.000 0.500
As: 0.500 0.000 0.000
Pt: 0.000 0.000 0.000

Results
Magnetization ... 0.00 μB/f.u.
Crystal system ... cubic
E_form ... 983 meV per atom

[2]
Here is crystalline As2PtRh2 at its relaxed geometry from Alexandria. Energies are from PBEsol.

abc: 4.177 4.177 5.476
angles: 112.42 112.42 90.00
Positions (direct):
Rh: 0.250 0.750 0.500
Rh: 0.750 0.250 0.500
As: 0.625 0.625 0.251
As: 0.375 0.375 0.749
Pt: 0.000 0.000 0.000

Results
Magnetization ... 0.00 μB/f.u.
Crystal system ... tetragonal
E_form ... -41 meV per atom

[3]
Here is crystalline AsRu2Pt at its relaxed geometry from Alexandria. Energies are from PBEsol.

abc: 2.789 2.789 7.444
angles: 90.00 90.00 90.00
Positions (direct):
Ru: 0.000 0.000 0.016
Ru: 0.500 0.500 0.242
Pt: 0.500 0.500 0.758
As: 0.000 0.000 0.484

Results
Magnetization ... 0.00 μB/f.u.
Crystal system ... tetragonal
E_form ... 111 meV per atom

[4]
Here is crystalline As2RuPt at its relaxed geometry from Alexandria. Energies are from PBEsol.

abc: 2.912 4.962 5.162
angles: 118.61 106.19 90.38
Positions (direct):
As: 0.500 0.500 0.500
As: 0.000 0.000 0.500
Ru: 0.000 0.500 0.000
Pt: 0.500 0.000 0.000

Results
Magnetization ... 0.00 μB/f.u.
Energy above the most stable polymorph in this dataset ... 198.6 meV/atom
Crystal system ... monoclinic
E_form ... 271 meV per atom

[5]
Here is crystalline As2RuPt at its relaxed geometry from Alexandria. Energies are from PBEsol.

abc: 3.054 4.345 5.364
angles: 113.89 106.54 90.00
Positions (direct):
Pt: 0.491 0.491 0.982
As: 0.756 0.256 0.511
As: 0.984 0.984 0.967
Ru: 0.270 0.770 0.540

Results
Magnetization ... 0.00 μB/f.u.
Energy above the most stable polymorph in this dataset ... 0.0 meV/atom
Crystal system ... orthorhombic
E_form ... 72 meV per atom

[6]
Here is crystalline AsRu2Pt at its relaxed geometry from Alexandria. Energies are from PBEsol.

abc: 2.809 4.737 4.718
angles: 107.42 107.32 90.00
Positions (direct):
Pt: 0.500 0.000 0.000
As: 0.000 0.500 0.000
Ru: 0.727 0.744 0.454
Ru: 0.273 0.256 0.546

Results
Magnetization ... 0.00 μB/f.u.
Crystal system ... monoclinic
E_form ... 88 meV per atom

[7]
Here is crystalline AsRu2Pt at its relaxed geometry from Alexandria. Energies are from PBEsol.

abc: 2.788 3.753 5.523
angles: 90.00 90.00 90.00
Positions (direct):
Pt: 0.500 0.500 0.761
Ru: 0.000 0.000 0.022
Ru: 0.500 0.500 0.237
As: 0.000 0.000 0.479

Results
Magnetization ... 0.00 μB/f.u.
Crystal system ... orthorhombic
E_form ... 119 meV per atom

[8]
Here is crystalline AsRu2Pt at its relaxed geometry from Alexandria. Energies are from PBEsol.

abc: 2.841 4.492 4.492
angles: 100.45 90.00 90.00
Positions (direct):
Ru: 0.000 0.000 0.500
Ru: 0.000 0.500 0.000
As: 0.500 0.500 0.500
Pt: 0.500 0.000 0.000

Results
Magnetization ... 0.00 μB/f.u.
Crystal system ... orthorhombic
E_form ... 87 meV per atom

[9]
Here is crystalline AsPt2S at its relaxed geometry from Alexandria. Energies are from PBEsol.

abc: 4.420 4.420 4.420
angles: 60.00 60.00 60.00
Positions (direct):
S: 0.000 0.000 0.000
Pt: 0.250 0.250 0.250
Pt: 0.750 0.750 0.750
As: 0.500 0.500 0.500

Results
Magnetization ... 0.00 μB/f.u.
Crystal system ... cubic
Formation energy without anion corrections ... 0.4 eV/f.u.

[10]
Here is crystalline AsPtS3 at its relaxed geometry from Alexandria. Energies are from PBEsol.

abc: 4.574 4.574 4.574
angles: 90.00 90.00 90.00
Positions (direct):
As: 0.000 0.000 0.000
Pt: 0.500 0.500 0.500
S: 0.000 0.000 0.500
S: 0.500 0.000 0.000
S: 0.000 0.500 0.000

Results
Magnetization ... 0.02 μB/f.u.
Crystal system ... cubic
Formation energy without anion corrections ... 5.3 eV/f.u.

[11]
Here is crystalline As2PtS at its relaxed geometry from Alexandria. Energies are from PBEsol.

abc: 5.591 5.591 7.003
angles: 113.53 113.53 90.00
Positions (direct):
S: 0.500 0.500 0.000
S: 0.750 0.250 0.500
As: 0.625 0.647 0.750
As: 0.897 0.375 0.250
As: 0.353 0.875 0.250
As: 0.125 0.103 0.750
Pt: 0.250 0.750 0.500
Pt: 0.000 0.000 0.000

Results
Magnetization ... 0.00 μB/f.u.
Crystal system ... tetragonal
Formation energy without anion corrections ... 0.3 eV/f.u.

[12]
Here is crystalline AsPtS at its relaxed geometry from Alexandria. Energies are from PBEsol.

abc: 5.934 5.934 5.934
angles: 90.00 90.00 90.00
Positions (direct):
As: 0.617 0.617 0.617
As: 0.883 0.383 0.117
As: 0.383 0.117 0.883
As: 0.117 0.883 0.383
S: 0.390 0.390 0.390
S: 0.110 0.610 0.890
S: 0.890 0.110 0.610
S: 0.610 0.890 0.110
Pt: 0.502 0.002 0.498
Pt: 0.998 0.998 0.998
Pt: 0.498 0.502 0.002
Pt: 0.002 0.498 0.502

Results
Magnetization ... 0.00 μB/f.u.
Crystal system ... cubic
Formation energy without anion corrections ... -1.3 eV/f.u.